Material: KCd2As
Method: DFT, PBE-GGA
State: optimized geometry

CIF file:
```
data_KCd2As
_space_group_name_H-M_alt 'P 1'
_space_group_IT_number 1
_cell_length_a 5.6995
_cell_length_b 5.6995
_cell_length_c 5.6995
_cell_angle_alpha 131.02
_cell_angle_beta 131.02
_cell_angle_gamma 71.78
loop_
_space_group_symop_operation_xyz
'x,y,z'
loop_
_atom_site_label
_atom_site_type_symbol
_atom_site_fract_x
_atom_site_fract_y
_atom_site_fract_z
K1 K 0.2500 0.7500 0.5000
Cd1 Cd 0.5000 0.5000 0.0000
Cd2 Cd 0.0000 0.0000 0.0000
As1 As 0.7500 0.2500 0.5000
```

Values from the calculation:
ρ: 5.5 g cm⁻³
DOS(E_F): 1.6 states/eV/cell
energy of formation: 14 meV/atom
SG: I4/mmm, No. 139
spin magnetization: 0.00 Bohr magnetons per cell